# 1
{"formula": "Tb2ThFe", "functional": "PBE-GGA", "state": "relaxed", "dos_at_fermi_per_ev_atom": 1.06, "e_form_mev_per_atom": -82, "polymorph_energy_ev_per_atom": 0.0000, "lattice": [[6.3040, 0.0000, 0.0000], [0.0000, 6.9880, 0.0000], [0.0000, 0.0000, 9.5944]], "species": ["Tb", "Tb", "Tb", "Tb", "Tb", "Tb", "Tb", "Tb", "Th", "Th", "Th", "Th", "Fe", "Fe", "Fe", "Fe"], "fractional_positions": [[0.1773, 0.6677, 0.0695], [0.3227, 0.1677, 0.4305], [0.8227, 0.3323, 0.5695], [0.6773, 0.8323, 0.9305], [0.8227, 0.3323, 0.9305], [0.6773, 0.8323, 0.5695], [0.1773, 0.6677, 0.4305], [0.3227, 0.1677, 0.0695], [0.6592, 0.5603, 0.2500], [0.8408, 0.0603, 0.2500], [0.3408, 0.4397, 0.7500], [0.1592, 0.9397, 0.7500], [0.0122, 0.3695, 0.2500], [0.4878, 0.8695, 0.2500], [0.9878, 0.6305, 0.7500], [0.5122, 0.1305, 0.7500]]}


# 2
{"formula": "Sc2V", "functional": "PBE-GGA", "state": "relaxed", "dos_at_fermi_per_ev_atom": 0.93, "e_form_mev_per_atom": 181, "lattice": [[-2.2882, 2.3095, 1.0085], [-2.5192, -2.1338, -0.8291], [2.5214, -2.2023, 5.0084]], "species": ["Sc", "Sc", "V"], "fractional_positions": [[0.1436, 0.1436, 0.2871], [0.8564, 0.8564, 0.7129], [0.5000, 0.5000, 0.0000]]}


# 3
{"formula": "LiMg2Pb", "functional": "PBE-GGA", "state": "relaxed", "dos_at_fermi_per_ev_atom": 0.40, "e_form_mev_per_atom": -130, "lattice": [[-1.0798, -1.4553, 5.1734], [-5.1764, -1.7875, 0.2417], [4.1199, -1.3357, -3.3326]], "species": ["Pb", "Mg", "Mg", "Li"], "fractional_positions": [[0.5000, 0.5000, 0.0000], [0.9999, 0.9999, 0.0000], [0.7500, 0.2500, 0.5000], [0.2500, 0.7500, 0.5000]]}


# 4
{"formula": "KNaMgHg2", "functional": "PBE-GGA", "state": "relaxed", "dos_at_fermi_per_ev_atom": 0.59, "e_form_mev_per_atom": 347, "polymorph_energy_ev_per_atom": 0.3735, "lattice": [[6.2546, 0.0000, 0.0000], [0.0000, 6.5082, 0.0000], [0.0000, 0.0000, 6.2546]], "species": ["Mg", "Na", "K", "Hg", "Hg"], "fractional_positions": [[0.0000, 0.5000, 0.0000], [0.5000, 0.5000, 0.5000], [0.0000, 0.0000, 0.0000], [0.0000, 0.0000, 0.5000], [0.5000, 0.0000, 0.0000]]}


# 5
{"formula": "ScMnRe2", "functional": "PBE-GGA", "state": "relaxed", "dos_at_fermi_per_ev_atom": 0.86, "e_form_mev_per_atom": 80, "polymorph_energy_ev_per_atom": 0.1324, "lattice": [[-4.2152, 0.6736, -2.7873], [-0.3511, -3.2789, 3.9819], [-1.4624, 1.4940, 1.7345]], "species": ["Mn", "Re", "Re", "Sc"], "fractional_positions": [[0.5000, 0.5000, 0.0000], [0.0000, 0.0000, 0.0000], [0.5000, 0.0000, 0.5000], [0.0000, 0.5000, 0.5000]]}


# 6
{"formula": "TcP2Pt", "functional": "PBE-GGA", "state": "relaxed", "dos_at_fermi_per_ev_atom": 0.95, "e_form_mev_per_atom": 135, "polymorph_energy_ev_per_atom": 0.5307, "lattice": [[-3.9828, -0.3869, -3.2616], [-2.7301, -4.3622, -0.4103], [1.7942, 3.1818, 3.6479]], "species": ["P", "P", "Pt", "Tc"], "fractional_positions": [[0.0000, 0.0000, 0.0000], [0.2500, 0.7500, 0.5000], [0.5000, 0.5000, 0.0000], [0.7500, 0.2500, 0.5000]]}


# 7
{"formula": "LiPaCuNi", "functional": "PBE-GGA", "state": "relaxed", "dos_at_fermi_per_ev_atom": 0.76, "e_form_mev_per_atom": 51, "lattice": [[-1.7249, -0.2127, 4.2208], [2.3858, -1.9922, 3.3428], [1.8102, 2.5359, 3.3358]], "species": ["Ni", "Pa", "Cu", "Li"], "fractional_positions": [[0.7500, 0.7500, 0.7500], [0.0000, 0.0000, 0.0000], [0.2500, 0.2500, 0.2500], [0.5000, 0.5000, 0.5000]]}


# 8
{"formula": "RbNd2MnSe4", "functional": "PBE-GGA", "state": "relaxed", "dos_at_fermi_per_ev_atom": 0.38, "formation_energy_uncorrected_ev_per_atom": -1.459, "lattice": [[4.2440, 0.0000, 0.0000], [-2.1220, 7.4060, 0.0000], [0.0000, 0.0000, 14.8393]], "species": ["Rb", "Rb", "Nd", "Nd", "Nd", "Nd", "Mn", "Mn", "Se", "Se", "Se", "Se", "Se", "Se", "Se", "Se"], "fractional_positions": [[0.1052, 0.2105, 0.7500], [0.8948, 0.7895, 0.2500], [0.3679, 0.7359, 0.5581], [0.6321, 0.2641, 0.0581], [0.6321, 0.2641, 0.4419], [0.3679, 0.7359, 0.9419], [0.8318, 0.6636, 0.7500], [0.1682, 0.3364, 0.2500], [0.2641, 0.5283, 0.1129], [0.7359, 0.4717, 0.6129], [0.7359, 0.4717, 0.8871], [0.2641, 0.5283, 0.3871], [0.0000, 0.0000, 0.5000], [0.0000, 0.0000, 0.0000], [0.4263, 0.8527, 0.7500], [0.5737, 0.1473, 0.2500]]}


# 9
{"formula": "Na2SrNiMo", "functional": "PBE-GGA", "state": "relaxed", "dos_at_fermi_per_ev_atom": 1.05, "e_form_mev_per_atom": 2055, "lattice": [[-3.0584, -4.0056, 1.7423], [2.5165, -0.0349, 4.3371], [-3.4523, 3.5197, 2.0315]], "species": ["Sr", "Mo", "Na", "Na", "Ni"], "fractional_positions": [[0.0000, 0.0000, 0.0000], [0.0000, 0.5000, 0.0000], [0.0000, 0.0000, 0.5000], [0.5000, 0.0000, 0.0000], [0.5000, 0.5000, 0.5000]]}


# 10
{"formula": "ScGaN2F", "functional": "PBE-GGA", "state": "relaxed", "dos_at_fermi_per_ev_atom": 0.35, "formation_energy_uncorrected_ev_per_atom": -0.628, "polymorph_energy_ev_per_atom": 0.0000, "lattice": [[3.8636, 0.0000, 0.0000], [0.0000, 3.8636, 0.0000], [0.0000, 0.0000, 3.8154]], "species": ["Sc", "N", "N", "Ga", "F"], "fractional_positions": [[0.5000, 0.5000, 0.5000], [0.0000, 0.5000, 0.0000], [0.5000, 0.0000, 0.0000], [0.0000, 0.0000, 0.0000], [0.0000, 0.0000, 0.5000]]}


# 11
{"formula": "ZrCo2Au", "functional": "PBE-GGA", "state": "relaxed", "dos_at_fermi_per_ev_atom": 1.26, "e_form_mev_per_atom": 289, "polymorph_energy_ev_per_atom": 0.5207, "lattice": [[8.3736, 0.0111, 0.0065], [7.8258, 2.9790, 0.0065], [7.8258, 1.4445, 2.6054]], "species": ["Au", "Co", "Co", "Zr"], "fractional_positions": [[0.7500, 0.7500, 0.7500], [0.9979, 0.9979, 0.9979], [0.5021, 0.5021, 0.5021], [0.2500, 0.2500, 0.2500]]}


# 12
{"formula": "RbSr2ZnNi", "functional": "PBE-GGA", "state": "relaxed", "dos_at_fermi_per_ev_atom": 0.53, "e_form_mev_per_atom": 116, "lattice": [[-0.8449, 2.9916, 5.0383], [0.9987, -4.9424, 3.1022], [4.9237, 1.1023, 0.1711]], "species": ["Sr", "Sr", "Zn", "Rb", "Ni"], "fractional_positions": [[0.0000, 0.5000, 0.0000], [0.5000, 0.0000, 0.0000], [0.0000, 0.0000, 0.5000], [0.5000, 0.5000, 0.5000], [0.0000, 0.0000, 0.0000]]}